An optimized crystal structure of AlTcOs4. Source: the Alexandria database, functional PBE.

Its formation energy is 572.7 meV/atom. As for the total moment: 0.00 μB/cell. The value obtained for the density of states at the Fermi level is 1.17 states/eV per atom.

The space group is F-43m (No. 216) and the conventional cell measures 7.2178, 7.2178 and 7.2178 Å, with angles of 90.00, 90.00 and 90.00 degrees. Symmetry generates all atoms from Al at (0.0000, 0.0000, 0.0000), Tc at (0.2500, 0.2500, 0.2500) and Os at (0.1251, 0.1251, 0.6251).

=====

An optimized crystal structure of LiMg2Al. Source: the Alexandria database, functional PBE.

Its formation energy is -5.1 meV/atom. As for the total moment: 0.00 μB/cell. The value obtained for the density of states at the Fermi level is 0.35 states/eV per atom.

The space group is P2/m (No. 10) and the conventional cell measures 3.0047, 4.7890 and 5.5533 Å, with angles of 90.00, 98.01 and 90.00 degrees. Symmetry generates all atoms from Li at (0.0000, 0.0000, 0.0000), Mg at (0.2426, 0.5000, 0.7488) and Al at (0.5000, 0.0000, 0.5000).

=====

An optimized crystal structure of Na2DyCuI6. Source: the Alexandria database, functional PBE.

As for the total moment: 0.00 μB/cell. The value obtained for the density of states at the Fermi level is 0.00 states/eV per atom. As for the uncorrected formation energy: -1.061 eV/atom.

The space group is R3 (No. 146, hexagonal axes) and the conventional cell measures 7.7895, 7.7895 and 22.6238 Å, with angles of 90.00, 90.00 and 120.00 degrees. Symmetry generates all atoms from Na at (0.0000, 0.0000, 0.0000), Na at (0.0000, 0.0000, 0.4875), Dy at (0.0000, 0.0000, 0.8060), Cu at (0.0000, 0.0000, 0.2231), I at (0.0108, 0.3675, 0.5622) and I at (0.0226, 0.6864, 0.4024).

=====

An optimized crystal structure of LaTb6Y. Source: the Alexandria database, functional PBE.

Its formation energy is 393.5 meV/atom. As for the total moment: 0.00 μB/cell. The value obtained for the density of states at the Fermi level is 1.98 states/eV per atom. The calculation puts the polymorph energy (0 for the lowest one) at 367 meV/atom.

The space group is C2/m (No. 12) and the conventional cell measures 9.5166, 6.9415 and 9.0495 Å, with angles of 90.00, 103.70 and 90.00 degrees. Symmetry generates all atoms from La at (0.0000, 0.0000, 0.0000), Tb at (0.1256, 0.5000, 0.9225), Tb at (0.2142, 0.2595, 0.2982) and Y at (0.0000, 0.5000, 0.5000).

=====

An optimized crystal structure of PrTaP. Source: the Alexandria database, functional PBE.

Its formation energy is -812.0 meV/atom. As for the total moment: 0.00 μB/cell. The value obtained for the density of states at the Fermi level is 0.79 states/eV per atom.

The space group is P4/nmm (No. 129, origin choice 2) and the conventional cell measures 3.9129, 3.9129 and 9.1794 Å, with angles of 90.00, 90.00 and 90.00 degrees. Symmetry generates all atoms from Pr at (0.2500, 0.2500, 0.1812), Ta at (0.2500, 0.7500, 0.5000) and P at (0.2500, 0.2500, 0.6905).

=====

An optimized crystal structure of ScIn3Ga. Source: the Alexandria database, functional PBE.

Its formation energy is 362.6 meV/atom. As for the total moment: 0.00 μB/cell. The value obtained for the density of states at the Fermi level is 0.71 states/eV per atom. The calculation puts the polymorph energy (0 for the lowest one) at 0 meV/atom.

The space group is Pm-3m (No. 221) and the conventional cell measures 5.2269, 5.2269 and 5.2269 Å, with angles of 90.00, 90.00 and 90.00 degrees. Symmetry generates all atoms from Sc at (0.0000, 0.0000, 0.0000), In at (0.0000, 0.5000, 0.5000) and Ga at (0.5000, 0.5000, 0.5000).

=====

An optimized crystal structure of CdPd4Au. Source: the Alexandria database, functional PBE.

Its formation energy is -7.3 meV/atom. As for the total moment: 0.01 μB/cell. The value obtained for the density of states at the Fermi level is 1.64 states/eV per atom. The calculation puts the polymorph energy (0 for the lowest one) at 185 meV/atom.

The space group is F-43m (No. 216) and the conventional cell measures 7.4640, 7.4640 and 7.4640 Å, with angles of 90.00, 90.00 and 90.00 degrees. Symmetry generates all atoms from Cd at (0.0000, 0.0000, 0.0000), Pd at (0.1248, 0.1248, 0.6248) and Au at (0.2500, 0.2500, 0.2500).

=====

An optimized crystal structure of K2CaMn. Source: the Alexandria database, functional PBE.

Its formation energy is 687.0 meV/atom. As for the total moment: 13.28 μB/cell. The value obtained for the density of states at the Fermi level is 0.85 states/eV per atom. The calculation puts the polymorph energy (0 for the lowest one) at 211 meV/atom.

The space group is R-3m (No. 166, hexagonal axes) and the conventional cell measures 3.9185, 3.9185 and 39.7094 Å, with angles of 90.00, 90.00 and 120.00 degrees. Symmetry generates all atoms from K at (0.0000, 0.0000, 0.2399), Ca at (0.0000, 0.0000, 0.0000) and Mn at (0.0000, 0.0000, 0.5000).